Density functional theory data (PBE) for a geometry-optimized AgPd2Au2 structure.

```
data_AgPd2Au2
_chemical_formula_sum 'Ag2 Pd4 Au4'
_cell_length_a 3.856
_cell_length_b 3.856
_cell_length_c 12.828
_cell_angle_alpha 90.00
_cell_angle_beta 90.00
_cell_angle_gamma 90.00
_space_group_name_H-M_alt 'I 4/m m m'
_space_group_IT_number 139
_space_group_name_Hall '-I 4 2'
loop_
_atom_site_label
_atom_site_fract_x
_atom_site_fract_y
_atom_site_fract_z
Ag1 0.000 0.000 0.000
Pd1 0.000 0.000 0.401
Au1 0.000 0.500 0.250
```

Values from the calculation:
**ΔH_f (0 K)**: 242 meV/atom
**E above lowest polymorph**: 1.38 kcal/mol of atoms

***

Density functional theory data (PBE) for a geometry-optimized AgTePdAu structure.

```
data_AgTePdAu
_chemical_formula_sum 'Ag4 Te4 Pd4 Au4'
_cell_length_a 6.758
_cell_length_b 6.758
_cell_length_c 6.758
_cell_angle_alpha 90.00
_cell_angle_beta 90.00
_cell_angle_gamma 90.00
_space_group_name_H-M_alt 'F -4 3 m'
_space_group_IT_number 216
_space_group_name_Hall 'F -4 2 3'
loop_
_atom_site_label
_atom_site_fract_x
_atom_site_fract_y
_atom_site_fract_z
Ag1 0.000 0.000 0.000
Te1 0.000 0.000 0.500
Pd1 0.250 0.250 0.250
Au1 0.250 0.250 0.750
```

Values from the calculation:
**E above lowest polymorph**: 0.00 kcal/mol of atoms

***

Density functional theory data (PBE) for a geometry-optimized AgPdWAu structure.

```
data_AgPdWAu
_chemical_formula_sum 'Ag4 Pd4 W4 Au4'
_cell_length_a 6.422
_cell_length_b 6.422
_cell_length_c 6.422
_cell_angle_alpha 90.00
_cell_angle_beta 90.00
_cell_angle_gamma 90.00
_space_group_name_H-M_alt 'F -4 3 m'
_space_group_IT_number 216
_space_group_name_Hall 'F -4 2 3'
loop_
_atom_site_label
_atom_site_fract_x
_atom_site_fract_y
_atom_site_fract_z
Ag1 0.000 0.000 0.000
Pd1 0.250 0.250 0.250
W1 0.000 0.000 0.500
Au1 0.250 0.250 0.750
```

Values from the calculation:
**ΔH_f (0 K)**: 420 meV/atom
**E above lowest polymorph**: 0.00 kcal/mol of atoms

***

Density functional theory data (PBE) for a geometry-optimized AgPdWAu structure.

```
data_AgPdWAu
_chemical_formula_sum 'Ag4 Pd4 W4 Au4'
_cell_length_a 6.404
_cell_length_b 6.404
_cell_length_c 6.404
_cell_angle_alpha 90.00
_cell_angle_beta 90.00
_cell_angle_gamma 90.00
_space_group_name_H-M_alt 'F -4 3 m'
_space_group_IT_number 216
_space_group_name_Hall 'F -4 2 3'
loop_
_atom_site_label
_atom_site_fract_x
_atom_site_fract_y
_atom_site_fract_z
Ag1 0.000 0.000 0.000
Pd1 0.250 0.250 0.750
W1 0.250 0.250 0.250
Au1 0.000 0.000 0.500
```

Values from the calculation:
**ΔH_f (0 K)**: 486 meV/atom
**E above lowest polymorph**: 1.53 kcal/mol of atoms

***

Density functional theory data (PBE) for a geometry-optimized PmAgAu structure.

```
data_PmAgAu
_chemical_formula_sum 'Pm2 Ag2 Au2'
_cell_length_a 3.811
_cell_length_b 4.005
_cell_length_c 9.178
_cell_angle_alpha 90.00
_cell_angle_beta 95.58
_cell_angle_gamma 90.00
_space_group_name_H-M_alt 'P 1 21/m 1'
_space_group_IT_number 11
loop_
_space_group_symop_operation_xyz
'x,y,z'
'-x,-y,-z'
'-x,y+1/2,-z'
'x,-y+1/2,z'
loop_
_atom_site_label
_atom_site_fract_x
_atom_site_fract_y
_atom_site_fract_z
Pm1 0.193 0.250 0.236
Ag1 0.265 0.250 0.573
Au1 0.344 0.250 0.900
```

Values from the calculation:
**ΔH_f (0 K)**: -565 meV/atom
**E above lowest polymorph**: 0.00 kcal/mol of atoms

***

Density functional theory data (PBE) for a geometry-optimized PmAgAu structure.

```
data_PmAgAu
_chemical_formula_sum 'Pm4 Ag4 Au4'
_cell_length_a 6.931
_cell_length_b 6.931
_cell_length_c 6.931
_cell_angle_alpha 90.00
_cell_angle_beta 90.00
_cell_angle_gamma 90.00
_space_group_name_H-M_alt 'F -4 3 m'
_space_group_IT_number 216
_space_group_name_Hall 'F -4 2 3'
loop_
_atom_site_label
_atom_site_fract_x
_atom_site_fract_y
_atom_site_fract_z
Pm1 0.000 0.000 0.000
Ag1 0.250 0.250 0.750
Au1 0.250 0.250 0.250
```

Values from the calculation:
**ΔH_f (0 K)**: -186 meV/atom
**E above lowest polymorph**: 8.76 kcal/mol of atoms